# Pr6ScAg5 (PBE-GGA, relaxed)
# Electronic total energy   -4.273 eV per atom
# ρ   7.17 g/cm3
# M_tot   0.0 μB per formula unit
# ΔE_f   -0.17 eV per atom
data_Pr6ScAg5
_chemical_formula_sum 'Pr6 Sc1 Ag5'
_symmetry_space_group_name_H-M 'P 1 2/m 1'
_symmetry_Int_Tables_number 10
_symmetry_space_group_name_Hall '-P 2y'
_cell_length_a 5.374
_cell_length_b 7.535
_cell_length_c 8.611
_cell_angle_alpha 90.00
_cell_angle_beta 108.19
_cell_angle_gamma 90.00
loop_
_atom_site_label
_atom_site_type_symbol
_atom_site_fract_x
_atom_site_fract_y
_atom_site_fract_z
Pr1 Pr 0.000 0.237 0.000
Pr2 Pr 0.328 0.254 0.657
Sc1 Sc 0.500 0.500 0.000
Ag1 Ag 0.150 0.500 0.297
Ag2 Ag 0.169 0.000 0.336
Ag3 Ag 0.500 0.000 0.000

# LaIn2HgTe4 (PBE-GGA, relaxed)
# Electronic total energy   -3.476 eV per atom
# Formation energy without anion corrections   -0.567 eV per atom
# ρ   6.71 g/cm3
# M_tot   0.0 μB per formula unit
data_LaIn2HgTe4
_chemical_formula_sum 'La1 In2 Hg1 Te4'
_symmetry_space_group_name_H-M 'P 1 2/m 1'
_symmetry_Int_Tables_number 10
_symmetry_space_group_name_Hall '-P 2y'
_cell_length_a 7.965
_cell_length_b 4.464
_cell_length_c 8.007
_cell_angle_alpha 90.00
_cell_angle_beta 110.19
_cell_angle_gamma 90.00
loop_
_atom_site_label
_atom_site_type_symbol
_atom_site_fract_x
_atom_site_fract_y
_atom_site_fract_z
La1 La 0.000 0.000 0.000
In1 In 0.000 0.500 0.500
In2 In 0.500 0.000 0.500
Hg1 Hg 0.500 0.500 0.000
Te1 Te 0.240 0.500 0.255
Te2 Te 0.241 0.000 0.741

# Ac4LaMg5 (PBE-GGA, relaxed)
# Electronic total energy   -3.021 eV per atom
# ρ   5.68 g/cm3
# M_tot   0.0 μB per formula unit
# ΔE_f   -0.09 eV per atom
data_Ac4LaMg5
_chemical_formula_sum 'Ac4 La1 Mg5'
_symmetry_space_group_name_H-M 'P 4/m m m'
_symmetry_Int_Tables_number 123
_symmetry_space_group_name_Hall '-P 4 2'
_cell_length_a 4.092
_cell_length_b 4.092
_cell_length_c 20.397
_cell_angle_alpha 90.00
_cell_angle_beta 90.00
_cell_angle_gamma 90.00
loop_
_atom_site_label
_atom_site_type_symbol
_atom_site_fract_x
_atom_site_fract_y
_atom_site_fract_z
Ac1 Ac 0.000 0.000 0.101
Ac2 Ac 0.000 0.000 0.305
La1 La 0.000 0.000 0.500
Mg1 Mg 0.500 0.500 0.000
Mg2 Mg 0.500 0.500 0.203
Mg3 Mg 0.500 0.500 0.409

# PmDy2HoS4 (PBE-GGA, relaxed)
# Electronic total energy   -6.374 eV per atom
# Formation energy without anion corrections   -1.993 eV per atom
# ρ   7.37 g/cm3
# M_tot   0.0 μB per formula unit
data_PmDy2HoS4
_chemical_formula_sum 'Pm1 Dy2 Ho1 S4'
_symmetry_space_group_name_H-M 'P 1 2/m 1'
_symmetry_Int_Tables_number 10
_symmetry_space_group_name_Hall '-P 2y'
_cell_length_a 6.819
_cell_length_b 3.894
_cell_length_c 6.853
_cell_angle_alpha 90.00
_cell_angle_beta 108.99
_cell_angle_gamma 90.00
loop_
_atom_site_label
_atom_site_type_symbol
_atom_site_fract_x
_atom_site_fract_y
_atom_site_fract_z
Pm1 Pm 0.000 0.000 0.000
Dy1 Dy 0.500 0.000 0.500
Dy2 Dy 0.500 0.500 0.000
Ho1 Ho 0.000 0.500 0.500
S1 S 0.252 0.000 0.745
S2 S 0.257 0.500 0.259

# SrAlRe3 (PBE-GGA, relaxed)
# Electronic total energy   -6.927 eV per atom
# ρ   11.01 g/cm3
# M_tot   0.0 μB per formula unit
# ΔE_f   1.63 eV per atom
# Excess energy over the best structure of this formula in the dataset   0.0000 eV/atom
data_SrAlRe3
_chemical_formula_sum 'Sr1 Al1 Re3'
_symmetry_space_group_name_H-M 'P m -3 m'
_symmetry_Int_Tables_number 221
_symmetry_space_group_name_Hall '-P 4 2 3'
_cell_length_a 4.665
_cell_length_b 4.665
_cell_length_c 4.665
_cell_angle_alpha 90.00
_cell_angle_beta 90.00
_cell_angle_gamma 90.00
loop_
_atom_site_label
_atom_site_type_symbol
_atom_site_fract_x
_atom_site_fract_y
_atom_site_fract_z
Sr1 Sr 0.000 0.000 0.000
Al1 Al 0.500 0.500 0.500
Re1 Re 0.000 0.500 0.500

# TlHg5 (PBE-GGA, relaxed)
# Electronic total energy   -0.670 eV per atom
# ρ   11.78 g/cm3
# M_tot   0.0 μB per formula unit
# ΔE_f   -0.02 eV per atom
# Excess energy over the best structure of this formula in the dataset   0.0003 eV/atom
data_TlHg5
_chemical_formula_sum 'Tl2 Hg10'
_symmetry_space_group_name_H-M 'P 1 21/m 1'
_symmetry_Int_Tables_number 11
_symmetry_space_group_name_Hall '-P 2yb'
_cell_length_a 5.051
_cell_length_b 9.878
_cell_length_c 6.824
_cell_angle_alpha 90.00
_cell_angle_beta 90.06
_cell_angle_gamma 90.00
loop_
_atom_site_label
_atom_site_type_symbol
_atom_site_fract_x
_atom_site_fract_y
_atom_site_fract_z
Tl1 Tl 0.247 0.250 0.131
Hg1 Hg 0.247 0.250 0.630
Hg2 Hg 0.251 0.579 0.621
Hg3 Hg 0.252 0.586 0.129

# ZrHgAu (PBE-GGA, relaxed)
# Electronic total energy   -4.024 eV per atom
# ρ   11.10 g/cm3
# M_tot   0.0 μB per formula unit
# ΔE_f   0.02 eV per atom
data_ZrHgAu
_chemical_formula_sum 'Zr4 Hg4 Au4'
_symmetry_space_group_name_H-M 'F -4 3 m'
_symmetry_Int_Tables_number 216
_symmetry_space_group_name_Hall 'F -4 2 3'
_cell_length_a 6.637
_cell_length_b 6.637
_cell_length_c 6.637
_cell_angle_alpha 90.00
_cell_angle_beta 90.00
_cell_angle_gamma 90.00
loop_
_atom_site_label
_atom_site_type_symbol
_atom_site_fract_x
_atom_site_fract_y
_atom_site_fract_z
Zr1 Zr 0.000 0.000 0.000
Hg1 Hg 0.250 0.250 0.750
Au1 Au 0.250 0.250 0.250

# AcPm3Pr3 (PBE-GGA, relaxed)
# Electronic total energy   -4.649 eV per atom
# ρ   7.03 g/cm3
# M_tot   0.0 μB per formula unit
# ΔE_f   0.02 eV per atom
# Excess energy over the best structure of this formula in the dataset   0.0000 eV/atom
data_AcPm3Pr3
_chemical_formula_sum 'Ac6 Pm18 Pr18'
_symmetry_space_group_name_H-M 'R -3'
_symmetry_Int_Tables_number 148
_symmetry_space_group_name_Hall '-R 3'
_cell_length_a 9.8550
_cell_length_b 9.8550
_cell_length_c 18.2685
_cell_angle_alpha 90.00
_cell_angle_beta 90.00
_cell_angle_gamma 120.00
loop_
_atom_site_label
_atom_site_type_symbol
_atom_site_fract_x
_atom_site_fract_y
_atom_site_fract_z
Ac1 Ac 0.0000 0.0000 0.2488
Pm1 Pm 0.0464 0.2362 0.9182
Pr1 Pr 0.0444 0.2368 0.4174

# YCr3In (PBE-GGA, relaxed)
# Electronic total energy   -6.399 eV per atom
# ρ   4.60 g/cm3
# M_tot   12.2 μB per formula unit
# ΔE_f   1.22 eV per atom
# Excess energy over the best structure of this formula in the dataset   0.0000 eV/atom
data_YCr3In
_chemical_formula_sum 'Y1 Cr3 In1'
_symmetry_space_group_name_H-M 'P m -3 m'
_symmetry_Int_Tables_number 221
_symmetry_space_group_name_Hall '-P 4 2 3'
_cell_length_a 5.064
_cell_length_b 5.064
_cell_length_c 5.064
_cell_angle_alpha 90.00
_cell_angle_beta 90.00
_cell_angle_gamma 90.00
loop_
_atom_site_label
_atom_site_type_symbol
_atom_site_fract_x
_atom_site_fract_y
_atom_site_fract_z
Y1 Y 0.000 0.000 0.000
Cr1 Cr 0.000 0.500 0.500
In1 In 0.500 0.500 0.500

# PPb2Se (PBE-GGA, relaxed)
# Electronic total energy   -3.990 eV per atom
# Formation energy without anion corrections   0.088 eV per atom
# ρ   8.69 g/cm3
# M_tot   0.0 μB per formula unit
# Excess energy over the best structure of this formula in the dataset   0.2269 eV/atom
data_PPb2Se
_chemical_formula_sum 'P1 Pb2 Se1'
_symmetry_space_group_name_H-M 'P 4/m m m'
_symmetry_Int_Tables_number 123
_symmetry_space_group_name_Hall '-P 4 2'
_cell_length_a 5.285
_cell_length_b 5.285
_cell_length_c 3.588
_cell_angle_alpha 90.00
_cell_angle_beta 90.00
_cell_angle_gamma 90.00
loop_
_atom_site_label
_atom_site_type_symbol
_atom_site_fract_x
_atom_site_fract_y
_atom_site_fract_z
P1 P 0.000 0.000 0.000
Pb1 Pb 0.000 0.500 0.500
Se1 Se 0.500 0.500 0.000

# Mg2GaSi (PBE-GGA, relaxed)
# Electronic total energy   -2.930 eV per atom
# Formation energy without anion corrections   -0.020 eV per atom
# ρ   3.31 g/cm3
# M_tot   0.0 μB per formula unit
data_Mg2GaSi
_chemical_formula_sum 'Mg2 Ga1 Si1'
_symmetry_space_group_name_H-M 'P 4/m m m'
_symmetry_Int_Tables_number 123
_symmetry_space_group_name_Hall '-P 4 2'
_cell_length_a 4.341
_cell_length_b 4.341
_cell_length_c 3.899
_cell_angle_alpha 90.00
_cell_angle_beta 90.00
_cell_angle_gamma 90.00
loop_
_atom_site_label
_atom_site_type_symbol
_atom_site_fract_x
_atom_site_fract_y
_atom_site_fract_z
Mg1 Mg 0.000 0.500 0.000
Ga1 Ga 0.000 0.000 0.500
Si1 Si 0.500 0.500 0.500

# La2TmBr2N2 (PBE-GGA, relaxed)
# Electronic total energy   -6.445 eV per atom
# Formation energy without anion corrections   -1.542 eV per atom
# ρ   6.25 g/cm3
# M_tot   1.0 μB per formula unit
data_La2TmBr2N2
_chemical_formula_sum 'La4 Tm2 Br4 N4'
_symmetry_space_group_name_H-M 'I 4/m m m'
_symmetry_Int_Tables_number 139
_symmetry_space_group_name_Hall '-I 4 2'
_cell_length_a 4.470
_cell_length_b 4.470
_cell_length_c 16.881
_cell_angle_alpha 90.00
_cell_angle_beta 90.00
_cell_angle_gamma 90.00
loop_
_atom_site_label
_atom_site_type_symbol
_atom_site_fract_x
_atom_site_fract_y
_atom_site_fract_z
La1 La 0.000 0.000 0.090
Tm1 Tm 0.000 0.000 0.500
Br1 Br 0.000 0.000 0.326
N1 N 0.000 0.500 0.000